The following is a PBE-GGA calculation of an optimized crystal structure of Pm2Zn3Ag5, from Alexandria.

Output
Total DFT energy (no corrections) in eV for the cell shown: -117.841
Energy of formation from the pure elements in meV per atom: -188
Distance to the lowest polymorph of the same formula in eV per atom: 0.019
DOS(E_F) in states/eV per cell: 24.7

a b c (Å): 11.9232 11.9258 5.8807
angles (deg): 90.00 90.00 90.00
Last column: nearest neighbours and their distance in Å.
Space group Ibam (No. 72)
Inequivalent atoms, fractional coordinates:
Pm 0.1324 0.2328 0.0000 (multiplicity 8)  6 Ag 3.14-3.50, 4 Zn 3.18-3.37
Zn 0.0000 0.5000 0.2500 (multiplicity 4)  6 Ag 2.68-2.84, 2 Zn 2.94
Zn 0.1310 0.1308 0.5000 (multiplicity 8)  5 Ag 2.57-2.65
Ag 0.0000 0.0000 0.2500 (multiplicity 4)  4 Zn 2.65, 2 Ag 2.94
Ag 0.1055 0.3449 0.5000 (multiplicity 8)  3 Zn 2.57-2.68, 2 Ag 2.84
Ag 0.2380 0.5000 0.2500 (multiplicity 8)  3 Zn 2.65-2.84, 4 Ag 2.84-2.94

The following is a PBE-GGA calculation of an optimized crystal structure of Pm3Zn3Ag2, from Alexandria.

Output
Total DFT energy (no corrections) in eV for the cell shown: -51.524
Energy of formation from the pure elements in meV per atom: -248
Distance to the lowest polymorph of the same formula in eV per atom: 0.052
DOS(E_F) in states/eV per cell: 11.3

a b c (Å): 19.6819 3.7762 5.1045
angles (deg): 90.00 104.86 90.00
Last column: nearest neighbours and their distance in Å.
Space group C2/m (No. 12)
Inequivalent atoms, fractional coordinates:
Pm 0.0000 0.0000 0.0000 (multiplicity 2)  8 Zn 3.14-3.17
Pm 0.1332 0.0000 0.6324 (multiplicity 4)  4 Ag 3.14-3.20, 6 Zn 3.16-3.18
Zn 0.0000 0.5000 0.5000 (multiplicity 2)  8 Pm 3.16-3.17
Zn 0.1317 0.5000 0.1312 (multiplicity 4)  2 Ag 2.72
Ag 0.2347 0.0000 0.2328 (multiplicity 4)  2 Zn 2.72

The following is a PBE-GGA calculation of an optimized crystal structure of Pm4Zn3Ag, from Alexandria.

Output
Total DFT energy (no corrections) in eV for the cell shown: -27.770
Energy of formation from the pure elements in meV per atom: -262
Distance to the lowest polymorph of the same formula in eV per atom: 0.047
DOS(E_F) in states/eV per cell: 8.4

a b c (Å): 3.6681 4.6185 11.9324
angles (deg): 90.00 90.00 90.00
Last column: nearest neighbours and their distance in Å.
Space group Pmm2 (No. 25)
Inequivalent atoms, fractional coordinates:
Pm 0.0000 0.0000 0.0000 (multiplicity 1)  6 Zn 3.11-3.15, 1 Ag 3.40
Pm 0.0000 0.5000 0.3003 (multiplicity 1)  7 Zn 3.12-3.32
Pm 0.5000 0.0000 0.4935 (multiplicity 1)  5 Zn 3.12-3.32, 2 Ag 3.22
Pm 0.5000 0.5000 0.8017 (multiplicity 1)  4 Ag 3.12, 3 Zn 3.23-3.35
Zn 0.0000 0.5000 0.5788 (multiplicity 1)  2 Ag 2.82, 4 Pm 3.12
Zn 0.5000 0.0000 0.2151 (multiplicity 1)  2 Zn 2.80, 4 Pm 3.12
Zn 0.5000 0.5000 0.0824 (multiplicity 1)  2 Zn 2.80, 4 Pm 3.11
Ag 0.0000 0.0000 0.7151 (multiplicity 1)  2 Zn 2.82, 4 Pm 3.12

The following is a PBE-GGA calculation of an optimized crystal structure of Pm2Zn2Ag, from Alexandria.

Output
Total DFT energy (no corrections) in eV for the cell shown: -65.381
Energy of formation from the pure elements in meV per atom: -289
Distance to the lowest polymorph of the same formula in eV per atom: 0.000
DOS(E_F) in states/eV per cell: 17.0

a b c (Å): 10.3677 4.6645 10.8503
angles (deg): 90.00 115.64 90.00
Last column: nearest neighbours and their distance in Å.
Space group C2/m (No. 12)
Inequivalent atoms, fractional coordinates:
Pm 0.0155 0.0000 0.3323 (multiplicity 4)  4 Ag 3.08-3.35, 7 Zn 3.26-3.28
Pm 0.1944 0.0000 0.1074 (multiplicity 4)  6 Zn 3.00-3.28
Zn 0.0140 0.5000 0.8886 (multiplicity 4)  1 Zn 2.56, 1 Ag 2.69
Zn 0.1374 0.5000 0.5675 (multiplicity 4)  1 Zn 2.58, 2 Ag 2.68
Ag 0.2255 0.5000 0.3472 (multiplicity 4)  4 Zn 2.68-2.90

The following is a PBE-GGA calculation of an optimized crystal structure of Pm4Zn3Ag2, from Alexandria.

Output
Total DFT energy (no corrections) in eV for the cell shown: -30.514
Energy of formation from the pure elements in meV per atom: -221
DOS(E_F) in states/eV per cell: 6.3

a b c (Å): 5.0259 5.0259 9.9834
angles (deg): 90.00 90.00 120.00
Last column: nearest neighbours and their distance in Å.
Space group P-3m1 (No. 164)
Inequivalent atoms, fractional coordinates:
Pm 0.0000 0.0000 0.1616 (multiplicity 2)  3 Ag 3.20, 1 Pm 3.23, 7 Zn 3.30-3.38
Pm 0.3333 0.6667 0.6110 (multiplicity 2)  4 Ag 3.04-3.13, 3 Zn 3.11
Zn 0.0000 0.0000 0.5000 (multiplicity 1)  8 Pm 3.11-3.38
Zn 0.3333 0.6667 0.0038 (multiplicity 2)  3 Zn 2.90, 1 Ag 2.93
Ag 0.3333 0.6667 0.2977 (multiplicity 2)  1 Zn 2.93, 7 Pm 3.04-3.20

The following is a PBE-GGA calculation of an optimized crystal structure of PmZn2Ag10, from Alexandria.

Output
Total DFT energy (no corrections) in eV for the cell shown: -147.545
Energy of formation from the pure elements in meV per atom: -83
DOS(E_F) in states/eV per cell: 17.7

a b c (Å): 5.4114 13.4508 13.4555
angles (deg): 90.00 90.00 90.00
Last column: nearest neighbours and their distance in Å.
Space group Fmmm (No. 69)
Inequivalent atoms, fractional coordinates:
Pm 0.0000 0.0000 0.0000 (multiplicity 4)  16 Ag 3.32-3.62, 4 Zn 3.63
Zn 0.2500 0.0000 0.2500 (multiplicity 8)  2 Zn 2.71, 8 Ag 2.71-2.84
Ag 0.0000 0.1053 0.3888 (multiplicity 16)  2 Zn 2.71, 7 Ag 2.80-2.99
Ag 0.0000 0.1709 0.1776 (multiplicity 16)  2 Zn 2.84, 7 Ag 2.88-3.14
Ag 0.2500 0.2500 0.0000 (multiplicity 8)  10 Ag 2.71-2.94

The following is a PBE-GGA calculation of an optimized crystal structure of Pm5Zn4Ag, from Alexandria.

Output
Total DFT energy (no corrections) in eV for the cell shown: -34.805
Energy of formation from the pure elements in meV per atom: -310
DOS(E_F) in states/eV per cell: 11.2

a b c (Å): 3.6819 3.6819 18.2709
angles (deg): 90.00 90.00 90.00
Last column: nearest neighbours and their distance in Å.
Space group P4/mmm (No. 123)
Inequivalent atoms, fractional coordinates:
Pm 0.0000 0.0000 0.0000 (multiplicity 1)  8 Zn 3.18
Pm 0.0000 0.0000 0.1987 (multiplicity 2)  8 Zn 3.15-3.17
Pm 0.0000 0.0000 0.3950 (multiplicity 2)  4 Zn 3.17, 4 Ag 3.23
Zn 0.5000 0.5000 0.1000 (multiplicity 2)  8 Pm 3.17-3.18
Zn 0.5000 0.5000 0.2958 (multiplicity 2)  8 Pm 3.15-3.17
Ag 0.5000 0.5000 0.5000 (multiplicity 1)  8 Pm 3.23

The following is a PBE-GGA calculation of an optimized crystal structure of PmZnAg4, from Alexandria.

Output
Total DFT energy (no corrections) in eV for the cell shown: -72.535
Energy of formation from the pure elements in meV per atom: -117
Distance to the lowest polymorph of the same formula in eV per atom: 0.014
DOS(E_F) in states/eV per cell: 27.4

a b c (Å): 7.8794 7.8794 7.8794
angles (deg): 90.00 90.00 90.00
Last column: nearest neighbours and their distance in Å.
Space group F-43m (No. 216)
Inequivalent atoms, fractional coordinates:
Pm 0.0000 0.0000 0.0000 (multiplicity 4)  12 Ag 3.27, 4 Zn 3.41
Zn 0.2500 0.2500 0.2500 (multiplicity 4)  12 Ag 3.27, 4 Pm 3.41
Ag 0.1244 0.1244 0.6244 (multiplicity 16)  6 Ag 2.77-2.80

The following is a PBE-GGA calculation of an optimized crystal structure of Pm3Zn5Ag6, from Alexandria.

Output
Total DFT energy (no corrections) in eV for the cell shown: -82.786
Energy of formation from the pure elements in meV per atom: -262
DOS(E_F) in states/eV per cell: 16.4

a b c (Å): 4.6066 13.4149 9.1953
angles (deg): 90.00 90.00 90.00
Last column: nearest neighbours and their distance in Å.
Space group Pmmn (No. 59, origin choice 2)
Inequivalent atoms, fractional coordinates:
Pm 0.2500 0.0440 0.2486 (multiplicity 4)  8 Ag 3.17-3.36, 6 Zn 3.17-3.47
Pm 0.2500 0.7500 0.2531 (multiplicity 2)  6 Zn 3.18-3.44, 6 Ag 3.20-3.45
Zn 0.2500 0.0882 0.8925 (multiplicity 4)  5 Ag 2.62-2.81
Zn 0.2500 0.6191 0.5410 (multiplicity 4)  1 Zn 2.60, 3 Ag 2.72-2.80
Zn 0.2500 0.7500 0.7499 (multiplicity 2)  2 Zn 2.60, 6 Ag 2.69-2.86
Ag 0.2500 0.0846 0.6073 (multiplicity 4)  4 Zn 2.62-2.80, 1 Ag 2.80
Ag 0.2500 0.2500 0.0663 (multiplicity 2)  4 Zn 2.70-2.86, 4 Ag 2.95
Ag 0.2500 0.2500 0.4224 (multiplicity 2)  6 Zn 2.80-2.92, 2 Ag 2.80
Ag 0.2500 0.6148 0.9664 (multiplicity 4)  4 Zn 2.67-2.81, 2 Ag 2.95

The following is a PBE-GGA calculation of an optimized crystal structure of Pm3Zn2Ag3, from Alexandria.

Output
Total DFT energy (no corrections) in eV for the cell shown: -110.582
Energy of formation from the pure elements in meV per atom: -286
Distance to the lowest polymorph of the same formula in eV per atom: 0.000
DOS(E_F) in states/eV per cell: 25.7

a b c (Å): 4.6511 10.6914 15.1360
angles (deg): 90.00 90.00 90.00
Last column: nearest neighbours and their distance in Å.
Space group Cmcm (No. 63)
Inequivalent atoms, fractional coordinates:
Pm 0.0000 0.0892 0.1039 (multiplicity 8)  4 Zn 3.15-3.34, 7 Ag 3.22-3.35
Pm 0.0000 0.3708 0.2500 (multiplicity 4)  5 Ag 3.08-3.25, 4 Zn 3.34
Zn 0.0000 0.2054 0.6007 (multiplicity 8)  4 Ag 2.66-2.87
Ag 0.0000 0.3409 0.7500 (multiplicity 4)  2 Zn 2.68
Ag 0.0000 0.3821 0.0419 (multiplicity 8)  3 Zn 2.66-2.87, 1 Ag 2.82

Please write out number 1 again, unchanged.
The following is a PBE-GGA calculation of an optimized crystal structure of Pm2Zn3Ag5, from Alexandria.

Output
Total DFT energy (no corrections) in eV for the cell shown: -117.841
Energy of formation from the pure elements in meV per atom: -188
Distance to the lowest polymorph of the same formula in eV per atom: 0.019
DOS(E_F) in states/eV per cell: 24.7

a b c (Å): 11.9232 11.9258 5.8807
angles (deg): 90.00 90.00 90.00
Last column: nearest neighbours and their distance in Å.
Space group Ibam (No. 72)
Inequivalent atoms, fractional coordinates:
Pm 0.1324 0.2328 0.0000 (multiplicity 8)  6 Ag 3.14-3.50, 4 Zn 3.18-3.37
Zn 0.0000 0.5000 0.2500 (multiplicity 4)  6 Ag 2.68-2.84, 2 Zn 2.94
Zn 0.1310 0.1308 0.5000 (multiplicity 8)  5 Ag 2.57-2.65
Ag 0.0000 0.0000 0.2500 (multiplicity 4)  4 Zn 2.65, 2 Ag 2.94
Ag 0.1055 0.3449 0.5000 (multiplicity 8)  3 Zn 2.57-2.68, 2 Ag 2.84
Ag 0.2380 0.5000 0.2500 (multiplicity 8)  3 Zn 2.65-2.84, 4 Ag 2.84-2.94